NbTlNiPt: optimized geometry, PBE. Values from VASP.

The structure in Quantum ESPRESSO input format:
```
&SYSTEM
  ibrav = 0, nat = 4, ntyp = 4
/
ATOMIC_SPECIES
Pt 195.08 Pt.upf
Ni 58.69 Ni.upf
Nb 92.91 Nb.upf
Tl 204.38 Tl.upf
ATOMIC_POSITIONS angstrom
Pt 1.923 -0.507 5.212
Ni 2.884 -0.761 7.819
Nb 0.961 -0.254 2.606
Tl 0.000 0.000 0.000
CELL_PARAMETERS angstrom
3.413 1.059 2.825
-0.863 0.881 4.385
1.296 -2.955 3.215
```

Summary:
SG   No. 216
Final energy   -5.9604 eV/atom
ρ   13.7 g/cm3